Record 1
## AcTb2F8 (PBE-GGA)

Data for a geometry-optimized AcTb2F8 structure.

The structure in POSCAR format:
```
AcTb2F8
1.0
3.530 -5.324 0.000
3.530 5.324 0.000
-1.231 0.000 4.136
Ac Tb F
1 2 8
direct
0.000 0.000 0.000
0.320 0.680 0.500
0.680 0.320 0.500
0.057 0.317 0.561
0.246 0.754 0.000
0.317 0.057 0.561
0.385 0.385 0.208
0.615 0.615 0.792
0.683 0.943 0.439
0.754 0.246 0.000
0.943 0.683 0.439
```

Crystal system: monoclinic
Size of the total moment, μB per cell: 0.00
DFT total energy, eV/cell: -71.2
V, A^3/atom: 14.13
Formation energy (no corrections), eV per formula unit: -42.85

=====

Record 2
## AcTcF6 (PBE-GGA)

Data for a geometry-optimized AcTcF6 structure.

The structure in POSCAR format:
```
AcTcF6
1.0
6.154 0.000 0.000
0.000 7.293 0.000
-0.885 0.000 5.046
Ac Tc F
2 2 12
direct
0.000 0.000 0.000
0.500 0.500 0.000
0.000 0.500 0.500
0.500 0.000 0.500
0.129 0.322 0.801
0.129 0.678 0.801
0.204 0.000 0.602
0.296 0.500 0.398
0.371 0.178 0.199
0.371 0.822 0.199
0.629 0.178 0.801
0.629 0.822 0.801
0.704 0.500 0.602
0.796 0.000 0.398
0.871 0.322 0.199
0.871 0.678 0.199
```

Crystal system: monoclinic
Size of the total moment, μB per cell: 4.00
DFT total energy, eV/cell: -98.6
V, A^3/atom: 14.15
Formation energy (no corrections), eV per formula unit: -23.58

=====

Record 3
## Ac3Te3F2 (PBE-GGA)

Data for a geometry-optimized Ac3Te3F2 structure.

The structure in POSCAR format:
```
Ac3Te3F2
1.0
2.210 -6.480 0.000
2.210 6.480 0.000
0.000 0.000 16.992
Ac Te F
6 6 4
direct
0.128 0.872 0.750
0.134 0.866 0.056
0.134 0.866 0.444
0.866 0.134 0.556
0.866 0.134 0.944
0.872 0.128 0.250
0.171 0.829 0.250
0.442 0.558 0.108
0.442 0.558 0.392
0.558 0.442 0.608
0.558 0.442 0.892
0.829 0.171 0.750
0.271 0.729 0.555
0.271 0.729 0.945
0.729 0.271 0.055
0.729 0.271 0.445
```

Crystal system: orthorhombic
Size of the total moment, μB per cell: 1.60
DFT total energy, eV/cell: -89.1
V, A^3/atom: 30.41
Formation energy (no corrections), eV per formula unit: -19.04

=====

Record 4
## AcTh2F11 (PBE-GGA)

Data for a geometry-optimized AcTh2F11 structure.

The structure in POSCAR format:
```
AcTh2F11
1.0
-4.336 5.489 5.934
4.336 -5.489 5.934
4.336 5.489 -5.934
Ac Th F
2 4 22
direct
0.250 0.250 0.000
0.750 0.750 0.000
0.182 0.643 0.824
0.318 0.143 0.461
0.682 0.857 0.539
0.818 0.357 0.176
0.000 0.500 0.500
0.042 0.960 0.276
0.056 0.357 0.149
0.184 0.460 0.917
0.208 0.907 0.851
0.215 0.373 0.589
0.285 0.873 0.158
0.292 0.143 0.699
0.316 0.234 0.276
0.444 0.593 0.301
0.458 0.734 0.917
0.500 0.000 0.500
0.542 0.266 0.083
0.556 0.407 0.699
0.684 0.766 0.724
0.708 0.857 0.301
0.715 0.127 0.842
0.785 0.627 0.411
0.792 0.093 0.149
0.816 0.540 0.083
0.944 0.643 0.851
0.958 0.040 0.724
```

Crystal system: orthorhombic
Size of the total moment, μB per cell: 0.00
DFT total energy, eV/cell: -195.4
V, A^3/atom: 20.18
Formation energy (no corrections), eV per formula unit: -58.17

=====

Record 5
## AcTiF6 (PBE-GGA)

Data for a geometry-optimized AcTiF6 structure.

The structure in POSCAR format:
```
AcTiF6
1.0
6.052 0.000 0.000
0.000 7.229 0.000
-0.856 0.000 5.059
Ac Ti F
2 2 12
direct
0.000 0.000 0.000
0.500 0.500 0.000
0.000 0.500 0.500
0.500 0.000 0.500
0.126 0.322 0.793
0.126 0.678 0.793
0.211 0.000 0.601
0.289 0.500 0.399
0.374 0.178 0.207
0.374 0.822 0.207
0.626 0.178 0.793
0.626 0.822 0.793
0.711 0.500 0.601
0.789 0.000 0.399
0.874 0.322 0.207
0.874 0.678 0.207
```

Crystal system: monoclinic
Size of the total moment, μB per cell: 2.00
DFT total energy, eV/cell: -105.7
V, A^3/atom: 13.83
Formation energy (no corrections), eV per formula unit: -29.60

=====

Record 6
## Ac2TiF8 (PBE-GGA)

Data for a geometry-optimized Ac2TiF8 structure.

The structure in POSCAR format:
```
Ac2TiF8
1.0
7.325 -2.085 0.000
7.325 2.085 0.000
-1.943 0.000 5.082
Ac Ti F
2 1 8
direct
0.160 0.160 0.166
0.840 0.840 0.834
0.503 0.497 0.500
0.010 0.011 0.278
0.222 0.222 0.792
0.351 0.350 0.547
0.406 0.406 0.097
0.594 0.594 0.903
0.650 0.649 0.453
0.778 0.778 0.208
0.989 0.990 0.722
```

Crystal system: monoclinic
Size of the total moment, μB per cell: 2.00
DFT total energy, eV/cell: -72.3
V, A^3/atom: 14.11
Formation energy (no corrections), eV per formula unit: -41.23

=====

Record 7
## AcTi2F8 (PBE-GGA)

Data for a geometry-optimized AcTi2F8 structure.

The structure in POSCAR format:
```
AcTi2F8
1.0
7.282 0.000 0.000
-3.641 6.306 0.000
0.000 0.000 4.060
Ac Ti F
1 2 8
direct
0.000 0.000 0.000
0.333 0.667 0.259
0.667 0.333 0.741
0.178 0.820 0.251
0.180 0.357 0.251
0.333 0.667 0.757
0.357 0.178 0.749
0.643 0.822 0.251
0.667 0.333 0.243
0.820 0.643 0.749
0.822 0.180 0.749
```

Crystal system: trigonal
Size of the total moment, μB per cell: 2.68
DFT total energy, eV/cell: -71.7
V, A^3/atom: 16.95
Formation energy (no corrections), eV per formula unit: -36.82

=====

Record 8
## AcTi2F11 (PBE-GGA)

Data for a geometry-optimized AcTi2F11 structure.

The structure in POSCAR format:
```
AcTi2F11
1.0
-3.854 5.039 5.472
3.854 -5.039 5.472
3.854 5.039 -5.472
Ac Ti F
2 4 22
direct
0.250 0.250 0.000
0.750 0.750 0.000
0.178 0.618 0.795
0.322 0.118 0.440
0.678 0.882 0.560
0.822 0.382 0.205
0.000 0.500 0.500
0.036 0.373 0.164
0.064 0.985 0.299
0.186 0.485 0.921
0.209 0.871 0.836
0.214 0.380 0.594
0.286 0.880 0.166
0.291 0.127 0.662
0.314 0.235 0.299
0.436 0.735 0.921
0.464 0.629 0.338
0.500 0.000 0.500
0.536 0.371 0.662
0.564 0.265 0.079
0.686 0.765 0.701
0.709 0.873 0.338
0.714 0.120 0.834
0.786 0.620 0.406
0.791 0.129 0.164
0.814 0.515 0.079
0.936 0.015 0.701
0.964 0.627 0.836
```

Crystal system: orthorhombic
Size of the total moment, μB per cell: 0.00
DFT total energy, eV/cell: -180.6
V, A^3/atom: 15.18
Formation energy (no corrections), eV per formula unit: -49.81

=====

- What is the formula in the sixth record?
  Ac2TiF8